5
Lattice="4.8728 0.0000 0.0000 0.0000 4.8728 0.0000 0.0000 0.0000 4.7628" Properties=species:S:1:pos:R:3 comment="MnCr2BiAu (PBE, optimized geometry)" space_group="P4/mmm (123)" delta_e_f_ev_per_atom=2.280 crystal_system=tetragonal pbc="T T T"
Mn 0.0000 0.0000 0.0000
Cr 0.0000 2.4364 2.3814
Cr 2.4364 0.0000 2.3814
Bi 0.0000 0.0000 2.3814
Au 2.4364 2.4364 0.0000